No. 1
A relaxed Os2PtRh crystal, computed with PBE-GGA.

- calculated total energy (eV/atom) = -8.77
- space group = No. 65
- theoretical density (g/cm³) = 19.33
- excess energy over the best structure of this formula in the dataset (eV/atom) = 0.170
- ΔH_f (0 K) (meV/atom) = 191

Cell: 4.785 4.785 2.721 Å, 90.00 90.00 110.75°
Fractional coordinates of all 4 atoms:
1 Os 0.000 0.500 0.000
2 Os 0.500 0.000 0.000
3 Pt 0.000 0.000 0.500
4 Rh 0.500 0.500 0.500

No. 2
A relaxed Os2PtRh crystal, computed with PBE-GGA.

- calculated total energy (eV/atom) = -8.55
- space group = No. 35
- theoretical density (g/cm³) = 18.67
- excess energy over the best structure of this formula in the dataset (eV/atom) = 0.387
- ΔH_f (0 K) (meV/atom) = 408

Cell: 2.711 2.711 9.450 Å, 90.00 90.00 119.70°
Fractional coordinates of all 4 atoms:
1 Os 0.000 0.000 0.000
2 Os 0.500 0.500 0.241
3 Pt 0.000 0.000 0.499
4 Rh 0.500 0.500 0.756

No. 3
A relaxed Os2PtRh9 crystal, computed with PBE-GGA.

- calculated total energy (eV/atom) = -7.87
- space group = No. 123
- theoretical density (g/cm³) = 14.54
- ΔH_f (0 K) (meV/atom) = 18

Cell: 3.848 3.848 11.588 Å, 90.00 90.00 90.00°
Fractional coordinates of all 12 atoms:
1 Os 0.000 0.000 0.170
2 Os 0.000 0.000 0.830
3 Pt 0.000 0.000 0.500
4 Rh 0.000 0.500 0.000
5 Rh 0.000 0.500 0.328
6 Rh 0.000 0.500 0.672
7 Rh 0.500 0.000 0.000
8 Rh 0.500 0.000 0.328
9 Rh 0.500 0.000 0.672
10 Rh 0.500 0.500 0.163
11 Rh 0.500 0.500 0.500
12 Rh 0.500 0.500 0.837